RbMn2VI8 | Alexandria via LeMat-Bulk | GGA-PBE | relaxed; final energy = -3.908 eV/atom; crystal system = trigonal; M_tot = 12.00 μB per cell; SG = No. 155
1.0
3.5712 2.0618 11.5692
-3.5712 2.0618 11.5692
0.0000 -4.1237 11.5692
Rb Mn V I
1 2 1 8
Direct
0.0000 0.0000 0.0000
0.2404 0.2404 0.2404
0.7596 0.7596 0.7596
0.5000 0.5000 0.5000
0.1529 0.4249 0.7616
0.2384 0.5751 0.8471
0.3162 0.3162 0.3162
0.4249 0.7616 0.1529
0.5751 0.8471 0.2384
0.6838 0.6838 0.6838
0.7616 0.1529 0.4249
0.8471 0.2384 0.5751